No. 1
Here is a relaxed Ce4ErTl5 crystal from Alexandria via LeMat-Bulk. Energies are from PBE.

Unit cell a=3.322 b=3.322 c=25.868 alpha=90.00 beta=90.00 gamma=90.00
Space group P4/mmm (No. 123)
Symmetry-distinct sites (fractional):
Ce 0.000 0.000 0.096 [2 per cell]
Ce 0.000 0.000 0.198 [2 per cell]
Er 0.000 0.000 0.500 [1 per cell]
Tl 0.500 0.500 0.000 [1 per cell]
Tl 0.500 0.500 0.295 [2 per cell]
Tl 0.500 0.500 0.411 [2 per cell]

Values from the calculation:
N(E_F) in states/eV/f.u.: 19.05
ΔE_f in meV per atom: 11.4
ρ in g/cm³: 10.18
Electronic total energy in eV per atom: -4.00

---

No. 2
Here is a relaxed Ce5ErTl8 crystal from Alexandria via LeMat-Bulk. Energies are from PBE.

Unit cell a=9.536 b=9.536 c=9.380 alpha=90.00 beta=90.00 gamma=90.00
Space group I-4 (No. 82)
Symmetry-distinct sites (fractional):
Ce 0.000 0.000 0.000 [2 per cell]
Ce 0.119 0.243 0.627 [8 per cell]
Er 0.000 0.500 0.250 [2 per cell]
Tl 0.076 0.336 0.964 [8 per cell]
Tl 0.088 0.179 0.288 [8 per cell]

Values from the calculation:
N(E_F) in states/eV/f.u.: 42.27
ΔE_f in meV per atom: -151.4
ρ in g/cm³: 9.74
Electronic total energy in eV per atom: -3.95

---

No. 3
Here is a relaxed CeEr4Tl2 crystal from Alexandria via LeMat-Bulk. Energies are from PBE.

Unit cell a=5.1051 b=5.1051 c=30.0661 alpha=90.00 beta=90.00 gamma=120.00
Space group R-3m (No. 166, hexagonal axes)
Symmetry-distinct sites (fractional):
Ce 0.0000 0.0000 0.0000 [3 per cell]
Er 0.0000 0.0000 0.2087 [6 per cell]
Er 0.0000 0.0000 0.3845 [6 per cell]
Tl 0.0000 0.0000 0.1033 [6 per cell]

Values from the calculation:
N(E_F) in states/eV/f.u.: 9.95
ΔE_f in meV per atom: 140.1
ρ in g/cm³: 8.94
Electronic total energy in eV per atom: -3.99